# 1
# La2Zr GGA-PBE relaxed
# - Calculated density: 6.64 g cm⁻³
# - ΔE to the lowest computed polymorph: 29 meV/atom
# - Size of the total moment: 0.000 μB/atom
# - DFT formation energy: 152 meV/atom
data_La2Zr
_cell_length_a 3.5076
_cell_length_b 3.5076
_cell_length_c 8.6653
_cell_angle_alpha 90.00
_cell_angle_beta 90.00
_cell_angle_gamma 120.00
_symmetry_space_group_name_H-M 'P -3 m 1'
_symmetry_Int_Tables_number 164
_symmetry_space_group_name_Hall '-P 3 2"'
loop_
_atom_site_label
_atom_site_type_symbol
_atom_site_fract_x
_atom_site_fract_y
_atom_site_fract_z
La1 La 0.3333 0.6667 0.1852
Zr1 Zr 0.0000 0.0000 0.5000

---

# 2
# Ti3Nb4Al2 GGA-PBE relaxed
# - Calculated density: 6.04 g cm⁻³
# - Size of the total moment: 0.000 μB/atom
# - DFT formation energy: -149 meV/atom
data_Ti3Nb4Al2
_cell_length_a 9.898
_cell_length_b 3.586
_cell_length_c 9.475
_cell_angle_alpha 90.00
_cell_angle_beta 111.35
_cell_angle_gamma 90.00
_symmetry_space_group_name_H-M 'C 1 2/m 1'
_symmetry_Int_Tables_number 12
_symmetry_space_group_name_Hall '-C 2y'
loop_
_atom_site_label
_atom_site_type_symbol
_atom_site_fract_x
_atom_site_fract_y
_atom_site_fract_z
Ti1 Ti 0.000 0.000 0.000
Ti2 Ti 0.162 0.500 0.552
Nb1 Nb 0.003 0.000 0.330
Nb2 Nb 0.164 0.500 0.891
Al1 Al 0.170 0.500 0.220